--- w ---
Material: Li6Pt4O11
Method: DFT, PBE
State: optimized geometry

Lattice parameters (Å, degrees): 5.130 5.199 8.666 83.82 74.33 81.69
Atoms (fractional coordinates):
Li 0.000 0.000 0.000
Li 0.038 0.267 0.482
Li 0.503 0.235 0.079
Li 0.553 0.474 0.519
Li 0.641 0.755 0.916
Li 0.916 0.772 0.596
Pt 0.208 0.487 0.849
Pt 0.290 0.761 0.273
Pt 0.366 0.001 0.667
Pt 0.872 0.478 0.196
O 0.021 0.843 0.800
O 0.182 0.374 0.643
O 0.249 0.566 0.075
O 0.257 0.936 0.469
O 0.383 0.110 0.882
O 0.497 0.404 0.305
O 0.549 0.643 0.718
O 0.643 0.872 0.135
O 0.709 0.119 0.554
O 0.849 0.369 0.984
O 0.940 0.610 0.390

Summary:
The space-group type is P1, No. 1. The total magnetization comes out at 2.001 Bohr magnetons per cell. The calculation puts the calculated density at 7544 kg/m³.

=====

--- x ---
Material: Li6Pt4O11
Method: DFT, PBE
State: optimized geometry

Lattice parameters (Å, degrees): 4.973 5.192 8.929 90.37 105.60 98.79
Atoms (fractional coordinates):
Li 0.000 0.000 0.000
Li 0.000 0.485 0.843
Li 0.502 0.242 0.926
Li 0.508 0.729 0.416
Li 0.977 0.452 0.498
Li 0.983 0.981 0.321
Pt 0.493 0.234 0.256
Pt 0.496 0.223 0.600
Pt 0.497 0.765 0.746
Pt 0.498 0.729 0.088
O 0.257 0.327 0.396
O 0.262 0.406 0.707
O 0.264 0.874 0.213
O 0.265 0.857 0.887
O 0.267 0.367 0.055
O 0.716 0.612 0.619
O 0.717 0.102 0.458
O 0.727 0.092 0.130
O 0.727 0.599 0.291
O 0.729 0.623 0.954
O 0.739 0.116 0.797

Summary:
The space-group type is P1, No. 1. The total magnetization comes out at 0.663 Bohr magnetons per cell. The calculation puts the calculated density at 7560 kg/m³.

=====

The structure with the least stability is w.

=====

--- w ---
Material: Li2Pt2O5
Method: DFT, PBE
State: optimized geometry

Lattice parameters (Å, degrees): 3.325 3.325 8.225 90.00 90.00 90.00
Atoms (fractional coordinates):
Li 0.000 0.000 0.234
Li 0.000 0.000 0.766
Pt 0.500 0.500 0.000
Pt 0.500 0.500 0.500
O 0.000 0.000 0.000
O 0.000 0.500 0.354
O 0.000 0.500 0.646
O 0.500 0.000 0.354
O 0.500 0.000 0.646

Summary:
The space-group type is P4/mmm, No. 123. The total magnetization comes out at 0.081 Bohr magnetons per cell. The calculation puts the calculated density at 8840 kg/m³.

=====

--- x ---
Material: Li2Pt2O5
Method: DFT, PBE
State: optimized geometry

Lattice parameters (Å, degrees): 3.832 3.832 7.406 90.00 90.00 90.00
Atoms (fractional coordinates):
Li 0.000 0.000 0.000
Li 0.000 0.000 0.500
Pt 0.500 0.500 0.215
Pt 0.500 0.500 0.785
O 0.000 0.500 0.173
O 0.000 0.500 0.827
O 0.500 0.000 0.173
O 0.500 0.000 0.827
O 0.500 0.500 0.500

Summary:
The space-group type is P4/mmm, No. 123. The total magnetization comes out at 0.141 Bohr magnetons per cell. The calculation puts the calculated density at 7392 kg/m³.

=====

The structure with the least stability is w.

=====

--- w ---
Material: Rb3Li2ReO6
Method: DFT, PBE
State: optimized geometry

Lattice parameters (Å, degrees): 5.672 5.672 6.405 97.81 97.81 120.56
Atoms (fractional coordinates):
Rb 0.000 0.000 0.000
Rb 0.323 0.677 0.000
Rb 0.677 0.323 0.000
Li 0.169 0.831 0.500
Li 0.831 0.169 0.500
Re 0.500 0.500 0.500
O 0.157 0.438 0.332
O 0.283 0.283 0.684
O 0.438 0.157 0.332
O 0.562 0.843 0.668
O 0.717 0.717 0.316
O 0.843 0.562 0.668

Summary:
The space-group type is C2/m, No. 12. The total magnetization comes out at 0.002 Bohr magnetons per cell. The calculation puts the calculated density at 5375 kg/m³.

=====

--- x ---
Material: Rb3Li2ReO6
Method: DFT, PBE
State: optimized geometry

Lattice parameters (Å, degrees): 6.690 6.690 5.244 96.95 96.95 121.85
Atoms (fractional coordinates):
Rb 0.000 0.000 0.000
Rb 0.180 0.820 0.500
Rb 0.820 0.180 0.500
Li 0.401 0.599 0.000
Li 0.599 0.401 0.000
Re 0.500 0.500 0.500
O 0.227 0.460 0.278
O 0.306 0.306 0.721
O 0.460 0.227 0.278
O 0.540 0.773 0.722
O 0.694 0.694 0.279
O 0.773 0.540 0.722

Summary:
The space-group type is C2/m, No. 12. The total magnetization comes out at 0.000 Bohr magnetons per cell. The calculation puts the calculated density at 4751 kg/m³.

=====

The structure with the least stability is w.

=====

--- w ---
Material: LiReO4
Method: DFT, PBE
State: optimized geometry

Lattice parameters (Å, degrees): 5.536 9.836 11.133 113.56 103.52 93.92
Atoms (fractional coordinates):
Li 0.000 0.000 0.000
Li 0.004 0.254 0.260
Li 0.115 0.700 0.980
Li 0.201 0.985 0.270
Li 0.476 0.482 0.995
Li 0.549 0.761 0.287
Li 0.650 0.456 0.264
Li 0.736 0.995 0.741
Re 0.067 0.607 0.233
Re 0.111 0.878 0.535
Re 0.283 0.872 0.756
Re 0.359 0.576 0.505
Re 0.566 0.586 0.738
Re 0.586 0.862 0.033
Re 0.809 0.119 0.479
Re 0.869 0.344 0.786
O 0.046 0.950 0.827
O 0.063 0.253 0.675
O 0.072 0.475 0.347
O 0.079 0.700 0.588
O 0.091 0.222 0.080
O 0.095 0.022 0.447
O 0.112 0.751 0.178
O 0.115 0.483 0.921
O 0.284 0.446 0.590
O 0.300 0.241 0.052
O 0.310 0.931 0.068
O 0.322 0.718 0.839
O 0.331 0.738 0.431
O 0.345 0.535 0.199
O 0.354 0.210 0.265
O 0.376 0.020 0.685
O 0.519 0.234 0.207
O 0.549 0.716 0.088
O 0.559 0.978 0.347
O 0.571 0.753 0.673
O 0.582 0.974 0.909
O 0.583 0.439 0.822
O 0.603 0.514 0.439
O 0.616 0.219 0.589
O 0.787 0.744 0.920
O 0.801 0.471 0.113
O 0.804 0.215 0.848
O 0.833 0.962 0.574
O 0.839 0.510 0.697
O 0.854 0.999 0.154
O 0.875 0.720 0.350
O 0.889 0.236 0.406

Summary:
The space-group type is P1, No. 1. The total magnetization comes out at 2.000 Bohr magnetons per cell. The calculation puts the calculated density at 6430 kg/m³.

=====

--- x ---
Material: LiReO4
Method: DFT, PBE
State: optimized geometry

Lattice parameters (Å, degrees): 4.493 4.493 3.428 90.00 90.00 96.72
Atoms (fractional coordinates):
Li 0.000 0.000 0.000
Re 0.500 0.500 0.668
O 0.231 0.231 0.452
O 0.293 0.707 0.973
O 0.707 0.293 0.973
O 0.769 0.769 0.452

Summary:
The space-group type is Cmm2, No. 35. The total magnetization comes out at 0.000 Bohr magnetons per cell. The calculation puts the calculated density at 6213 kg/m³.

=====

The structure with the least stability is w.

=====

--- w ---
Material: Li2Re2O5
Method: DFT, PBE
State: optimized geometry

Lattice parameters (Å, degrees): 3.829 3.829 6.766 90.00 90.00 90.00
Atoms (fractional coordinates):
Li 0.000 0.000 0.000
Li 0.000 0.000 0.500
Re 0.500 0.500 0.197
Re 0.500 0.500 0.803
O 0.000 0.500 0.200
O 0.000 0.500 0.800
O 0.500 0.000 0.200
O 0.500 0.000 0.800
O 0.500 0.500 0.500

Summary:
The space-group type is P4/mmm, No. 123. The total magnetization comes out at 0.001 Bohr magnetons per cell. The calculation puts the calculated density at 7806 kg/m³.

=====

--- x ---
Material: Li2Re2O5
Method: DFT, PBE
State: optimized geometry

Lattice parameters (Å, degrees): 3.395 3.395 7.705 90.00 90.00 90.00
Atoms (fractional coordinates):
Li 0.000 0.000 0.247
Li 0.000 0.000 0.753
Re 0.500 0.500 0.000
Re 0.500 0.500 0.500
O 0.000 0.000 0.500
O 0.000 0.500 0.148
O 0.000 0.500 0.852
O 0.500 0.000 0.148
O 0.500 0.000 0.852

Summary:
The space-group type is P4/mmm, No. 123. The total magnetization comes out at 5.315 Bohr magnetons per cell. The calculation puts the calculated density at 8720 kg/m³.

=====

The structure with the least stability is x.

=====

--- w ---
Material: LiSmSeO
Method: DFT, PBE
State: optimized geometry

Lattice parameters (Å, degrees): 3.983 3.983 8.900 90.00 90.00 90.00
Atoms (fractional coordinates):
Li 0.250 0.750 0.000
Li 0.750 0.250 0.000
Sm 0.250 0.250 0.370
Sm 0.750 0.750 0.630
Se 0.250 0.250 0.825
Se 0.750 0.750 0.175
O 0.250 0.750 0.500
O 0.750 0.250 0.500

Summary:
The space-group type is P4/nmm, No. 129. The total magnetization comes out at 0.000 Bohr magnetons per cell. The calculation puts the calculated density at 5934 kg/m³.

=====

--- x ---
Material: LiSmSeO
Method: DFT, PBE
State: optimized geometry

Lattice parameters (Å, degrees): 4.504 4.098 7.010 90.00 90.00 90.00
Atoms (fractional coordinates):
Li 0.000 0.245 0.000
Li 0.000 0.755 0.500
Sm 0.500 0.254 0.335
Sm 0.500 0.746 0.835
Se 0.000 0.255 0.665
Se 0.000 0.745 0.165
O 0.500 0.245 0.001
O 0.500 0.755 0.501

Summary:
The space-group type is Pmc2_1, No. 26. The total magnetization comes out at 0.000 Bohr magnetons per cell. The calculation puts the calculated density at 6475 kg/m³.

=====

--- y ---
Material: LiSmSeO
Method: DFT, PBE
State: optimized geometry

Lattice parameters (Å, degrees): 5.940 7.315 6.473 90.00 98.55 90.00
Atoms (fractional coordinates):
Li 0.125 0.236 0.487
Li 0.125 0.264 0.987
Li 0.875 0.736 0.013
Li 0.875 0.764 0.513
Sm 0.390 0.602 0.761
Sm 0.390 0.898 0.261
Sm 0.610 0.102 0.739
Sm 0.610 0.398 0.239
Se 0.132 0.557 0.287
Se 0.132 0.943 0.787
Se 0.868 0.057 0.213
Se 0.868 0.443 0.713
O 0.427 0.185 0.425
O 0.427 0.315 0.925
O 0.573 0.685 0.075
O 0.573 0.815 0.575

Summary:
The space-group type is P2_1/c, No. 14. The total magnetization comes out at 0.000 Bohr magnetons per cell. The calculation puts the calculated density at 6025 kg/m³.

=====

The structure with the least stability is x.

=====

--- w ---
Material: LiTbSeO
Method: DFT, PBE
State: optimized geometry

Lattice parameters (Å, degrees): 3.846 6.108 6.720 90.00 90.00 90.00
Atoms (fractional coordinates):
Li 0.000 0.150 0.000
Li 0.000 0.850 0.500
Tb 0.500 0.453 0.327
Tb 0.500 0.547 0.827
Se 0.000 0.263 0.598
Se 0.000 0.737 0.098
O 0.500 0.276 0.045
O 0.500 0.724 0.545

Summary:
The space-group type is Pmc2_1, No. 26. The total magnetization comes out at 0.002 Bohr magnetons per cell. The calculation puts the calculated density at 5487 kg/m³.

=====

--- x ---
Material: LiTbSeO
Method: DFT, PBE
State: optimized geometry

Lattice parameters (Å, degrees): 3.921 3.921 8.827 90.00 90.00 90.00
Atoms (fractional coordinates):
Li 0.250 0.750 0.000
Li 0.750 0.250 0.000
Tb 0.250 0.250 0.373
Tb 0.750 0.750 0.627
Se 0.250 0.250 0.821
Se 0.750 0.750 0.179
O 0.250 0.750 0.500
O 0.750 0.250 0.500

Summary:
The space-group type is P4/nmm, No. 129. The total magnetization comes out at 0.001 Bohr magnetons per cell. The calculation puts the calculated density at 6383 kg/m³.

=====

The structure with the least stability is w.

=====

--- w ---
Material: LiTbSeO
Method: DFT, PBE
State: optimized geometry

Lattice parameters (Å, degrees): 5.557 5.548 10.323 90.00 105.40 90.00
Atoms (fractional coordinates):
Li 0.044 0.000 0.088
Li 0.431 0.957 0.914
Li 0.569 0.457 0.086
Li 0.956 0.500 0.912
Tb 0.056 0.276 0.611
Tb 0.444 0.277 0.389
Tb 0.556 0.777 0.611
Tb 0.944 0.776 0.389
Se 0.069 0.504 0.166
Se 0.433 0.502 0.833
Se 0.567 0.002 0.167
Se 0.931 0.004 0.834
O 0.250 0.028 0.500
O 0.250 0.528 0.500
O 0.750 0.028 0.500
O 0.750 0.528 0.500

Summary:
The space-group type is P2_1, No. 4. The total magnetization comes out at 0.003 Bohr magnetons per cell. The calculation puts the calculated density at 5646 kg/m³.

=====

--- x ---
Material: LiTbSeO
Method: DFT, PBE
State: optimized geometry

Lattice parameters (Å, degrees): 6.024 7.258 6.327 90.00 100.28 90.00
Atoms (fractional coordinates):
Li 0.121 0.233 0.485
Li 0.121 0.267 0.985
Li 0.879 0.733 0.015
Li 0.879 0.767 0.515
Tb 0.406 0.609 0.762
Tb 0.406 0.891 0.262
Tb 0.594 0.109 0.738
Tb 0.594 0.391 0.238
Se 0.148 0.560 0.297
Se 0.148 0.940 0.797
Se 0.852 0.060 0.203
Se 0.852 0.440 0.703
O 0.416 0.176 0.413
O 0.416 0.324 0.913
O 0.584 0.676 0.087
O 0.584 0.824 0.587

Summary:
The space-group type is P2_1/c, No. 14. The total magnetization comes out at 0.005 Bohr magnetons per cell. The calculation puts the calculated density at 6366 kg/m³.

=====

The structure with the least stability is x.